No. 1
RbCrN3 (PBE-GGA, optimized geometry); ΔE_f (raw) = 3.78 eV/atom; symmetry = Pm-3m, No. 221
1.0
4.160 0.000 0.000
0.000 4.160 0.000
0.000 0.000 4.160
Cr Rb N
1 1 3
Cartesian
2.080 2.080 2.080
0.000 0.000 0.000
0.000 2.080 0.000
0.000 0.000 2.080
2.080 0.000 0.000

No. 2
LiY2Cl (PBE-GGA, optimized geometry); energy relative to the lowest polymorph listed for this composition = 199 meV/atom; ΔE_f (raw) = -0.44 eV/atom; symmetry = Cmmm, No. 65
1.0
3.452 0.002 0.000
-1.522 3.099 0.000
0.000 0.000 9.878
Cl Li Y
1 1 2
Cartesian
0.965 1.550 2.469
0.965 1.550 7.408
0.000 0.000 0.163
0.000 0.000 4.776

No. 3
RuPtW2 (PBE-GGA, optimized geometry); energy relative to the lowest polymorph listed for this composition = 192 meV/atom; DFT formation energy = 0.021 eV/atom; symmetry = R-3m, No. 166
1.0
-0.335 5.873 7.269
-3.052 5.796 6.674
-1.929 3.842 8.305
Pt Ru W
1 1 2
Cartesian
-1.329 3.878 5.562
-3.987 11.633 16.686
-0.009 0.027 0.039
-2.649 7.729 11.085

No. 4
KFeRu (PBE-GGA, optimized geometry); energy relative to the lowest polymorph listed for this composition = 0 meV/atom; DFT formation energy = 0.790 eV/atom; symmetry = Imm2, No. 44
1.0
6.576 -0.060 -0.010
4.974 4.301 0.010
-5.528 -2.793 2.210
Fe K Ru
1 1 1
Cartesian
0.608 0.223 0.000
3.849 1.413 0.000
7.092 2.604 0.000

No. 5
MnAgAu (PBE-GGA, optimized geometry); energy relative to the lowest polymorph listed for this composition = 100 meV/atom; DFT formation energy = 0.118 eV/atom; symmetry = Cm, No. 8
1.0
7.689 0.000 0.066
0.000 3.091 0.000
-3.505 0.000 8.630
Mn Ag Au
4 4 4
Cartesian
4.017 0.000 6.852
5.769 1.546 2.537
3.862 0.000 1.025
2.110 1.546 5.341
0.198 0.000 6.747
1.950 1.546 2.432
0.068 0.000 3.937
-1.684 1.546 8.253
-0.145 0.000 1.080
-1.898 1.546 5.395
3.896 0.000 3.876
2.143 1.546 8.191

No. 6
ZrAs3Au (PBE-GGA, optimized geometry); energy relative to the lowest polymorph listed for this composition = 194 meV/atom; DFT formation energy = 0.651 eV/atom; symmetry = Pm-3m, No. 221
1.0
-2.064 -2.748 -3.562
3.697 -3.269 0.380
-2.563 -2.502 3.416
As Au Zr
3 1 1
Cartesian
1.848 -1.635 0.190
-1.282 -1.251 1.708
-1.032 -1.374 -1.781
0.000 0.000 0.000
-0.466 -4.260 0.117

Number 1: Fermi-level density of states 6.1 states/eV/f.u., energy -3.337 eV/atom. Number 2: Fermi-level density of states 3.7 states/eV/f.u., energy -4.613 eV/atom. Number 3: Fermi-level density of states 3.8 states/eV/f.u., energy -10.285 eV/atom. Number 4: Fermi-level density of states 4.1 states/eV/f.u., energy -5.489 eV/atom. Number 5: Fermi-level density of states 1.4 states/eV/f.u., energy -4.982 eV/atom. Number 6: Fermi-level density of states 4.9 states/eV/f.u., energy -4.503 eV/atom.